1.
Compound: HoBiI
Source: Alexandria via LeMat-Bulk
Functional: PBE-GGA
Structure: relaxed

It has space group P2/m (No. 10), with a = 7.319 Å, b = 3.855 Å, c = 7.774 Å, α = 90.00°, β = 98.48° and γ = 90.00°. The asymmetric unit holds Ho at (0.000, 0.000, 0.000), Ho at (0.000, 0.500, 0.500), Bi at (0.290, 0.000, 0.349) and I at (0.261, 0.500, 0.852).

The value obtained for the density of states at the Fermi level is 0.58 states/eV per atom. For the formation energy without anion corrections, the calculation gives -681 meV per atom. The energy above the lowest structure with this stoichiometry is 0.056 eV per atom. The energy comes out at -4.02 eV/atom.

2.
Compound: CeNd2Co9
Source: Alexandria via LeMat-Bulk
Functional: PBE-GGA
Structure: relaxed

It has space group R-3m (No. 166, hexagonal axes), with a = 4.9880 Å, b = 4.9880 Å, c = 25.0452 Å, α = 90.00°, β = 90.00° and γ = 120.00°. The asymmetric unit holds Ce at (0.0000, 0.0000, 0.0000), Nd at (0.0000, 0.0000, 0.1394), Co at (0.0000, 0.0000, 0.3332), Co at (0.0000, 0.0000, 0.5000) and Co at (0.0013, 0.5006, 0.0794).

The value obtained for the density of states at the Fermi level is 1.52 states/eV per atom. As for the formation energy: -0.07 eV per atom. The energy comes out at -6.69 eV/atom.

3.
Compound: NaCr2TcC
Source: Alexandria via LeMat-Bulk
Functional: PBE-GGA
Structure: relaxed

It has space group P4/mmm (No. 123), with a = 3.965 Å, b = 3.965 Å, c = 4.113 Å, α = 90.00°, β = 90.00° and γ = 90.00°. The asymmetric unit holds Na at (0.000, 0.000, 0.000), Cr at (0.000, 0.500, 0.500), Tc at (0.500, 0.500, 0.000) and C at (0.500, 0.500, 0.500).

The value obtained for the density of states at the Fermi level is 1.25 states/eV per atom. As for the formation energy: 0.68 eV per atom. The energy comes out at -7.36 eV/atom.